[1]
Entry from OQMD: crystalline CsTmBiSe3 at its relaxed geometry (PBE).

Output
* total moment: 0.02 μB/cell
* crystal system: orthorhombic
* total energy: -52.16 eV per cell
* space-group type: Cmcm (63)

```
data_CsTmBiSe3
_cell_length_a 9.146
_cell_length_b 9.146
_cell_length_c 11.966
_cell_angle_alpha 90.00
_cell_angle_beta 90.00
_cell_angle_gamma 154.92
_space_group_name_H-M_alt 'P 1'
_space_group_IT_number 1
_space_group_name_Hall 'P 1'
loop_
_atom_site_label
_atom_site_type_symbol
_atom_site_fract_x
_atom_site_fract_y
_atom_site_fract_z
_atom_site_occupancy
Cs1 Cs 0.197 0.803 0.750 1
Cs2 Cs 0.803 0.197 0.250 1
Tm1 Tm 0.500 0.500 0.000 1
Tm2 Tm 0.500 0.500 0.500 1
Bi1 Bi 0.102 0.898 0.250 1
Bi2 Bi 0.898 0.102 0.750 1
Se1 Se 0.111 0.889 0.009 1
Se2 Se 0.111 0.889 0.491 1
Se3 Se 0.478 0.522 0.250 1
Se4 Se 0.522 0.478 0.750 1
Se5 Se 0.889 0.111 0.509 1
Se6 Se 0.889 0.111 0.991 1
```

=====

[2]
Entry from OQMD: crystalline Cs2ZnBi2Se5 at its relaxed geometry (PBE).

Output
* crystal system: orthorhombic
* total energy: -145.75 eV per cell
* space-group type: Pnma (62)

```
data_Cs2ZnBi2Se5
_cell_length_a 16.637
_cell_length_b 4.308
_cell_length_c 19.038
_cell_angle_alpha 90.00
_cell_angle_beta 90.00
_cell_angle_gamma 90.00
_space_group_name_H-M_alt 'P 1'
_space_group_IT_number 1
_space_group_name_Hall 'P 1'
loop_
_atom_site_label
_atom_site_type_symbol
_atom_site_fract_x
_atom_site_fract_y
_atom_site_fract_z
_atom_site_occupancy
Cs1 Cs 0.006 0.250 0.123 1
Cs2 Cs 0.040 0.750 0.382 1
Cs3 Cs 0.460 0.250 0.882 1
Cs4 Cs 0.494 0.750 0.623 1
Cs5 Cs 0.506 0.250 0.377 1
Cs6 Cs 0.540 0.750 0.118 1
Cs7 Cs 0.960 0.250 0.618 1
Cs8 Cs 0.994 0.750 0.877 1
Zn1 Zn 0.205 0.250 0.856 1
Zn2 Zn 0.295 0.750 0.356 1
Zn3 Zn 0.705 0.250 0.644 1
Zn4 Zn 0.795 0.750 0.144 1
Bi1 Bi 0.207 0.750 0.698 1
Bi2 Bi 0.248 0.750 0.017 1
Bi3 Bi 0.252 0.250 0.517 1
Bi4 Bi 0.293 0.250 0.198 1
Bi5 Bi 0.707 0.750 0.802 1
Bi6 Bi 0.748 0.750 0.483 1
Bi7 Bi 0.752 0.250 0.983 1
Bi8 Bi 0.793 0.250 0.302 1
Se1 Se 0.105 0.250 0.756 1
Se2 Se 0.133 0.750 0.560 1
Se3 Se 0.138 0.250 0.973 1
Se4 Se 0.180 0.750 0.151 1
Se5 Se 0.213 0.250 0.344 1
Se6 Se 0.287 0.750 0.844 1
Se7 Se 0.320 0.250 0.651 1
Se8 Se 0.362 0.750 0.473 1
Se9 Se 0.367 0.250 0.060 1
Se10 Se 0.395 0.750 0.256 1
Se11 Se 0.605 0.250 0.744 1
Se12 Se 0.633 0.750 0.940 1
Se13 Se 0.638 0.250 0.527 1
Se14 Se 0.680 0.750 0.349 1
Se15 Se 0.713 0.250 0.156 1
Se16 Se 0.787 0.750 0.656 1
Se17 Se 0.820 0.250 0.849 1
Se18 Se 0.862 0.750 0.027 1
Se19 Se 0.867 0.250 0.440 1
Se20 Se 0.895 0.750 0.244 1
```

=====

[3]
Entry from OQMD: crystalline CsSmBiTe3 at its relaxed geometry (PBE).

Output
* total moment: 0.05 μB/cell
* crystal system: orthorhombic
* total energy: -47.71 eV per cell
* space-group type: Cmcm (63)

```
data_CsSmBiTe3
_cell_length_a 9.342
_cell_length_b 9.342
_cell_length_c 12.009
_cell_angle_alpha 90.00
_cell_angle_beta 90.00
_cell_angle_gamma 151.90
_space_group_name_H-M_alt 'P 1'
_space_group_IT_number 1
_space_group_name_Hall 'P 1'
loop_
_atom_site_label
_atom_site_type_symbol
_atom_site_fract_x
_atom_site_fract_y
_atom_site_fract_z
_atom_site_occupancy
Cs1 Cs 0.241 0.759 0.750 1
Cs2 Cs 0.759 0.241 0.250 1
Sm1 Sm 0.000 0.000 0.000 1
Sm2 Sm 0.000 0.000 0.500 1
Bi1 Bi 0.458 0.542 0.250 1
Bi2 Bi 0.542 0.458 0.750 1
Te1 Te 0.083 0.917 0.250 1
Te2 Te 0.378 0.622 0.028 1
Te3 Te 0.378 0.622 0.472 1
Te4 Te 0.622 0.378 0.528 1
Te5 Te 0.622 0.378 0.972 1
Te6 Te 0.917 0.083 0.750 1
```

=====

[4]
Entry from OQMD: crystalline CsTa3Bi5 at its relaxed geometry (PBE).

Output
* total moment: 0.00 μB/cell
* crystal system: hexagonal
* total energy: -56.90 eV per cell
* space-group type: P6/mmm (191)

```
data_CsTa3Bi5
_cell_length_a 5.901
_cell_length_b 5.901
_cell_length_c 9.177
_cell_angle_alpha 90.00
_cell_angle_beta 90.00
_cell_angle_gamma 120.00
_space_group_name_H-M_alt 'P 1'
_space_group_IT_number 1
_space_group_name_Hall 'P 1'
loop_
_atom_site_label
_atom_site_type_symbol
_atom_site_fract_x
_atom_site_fract_y
_atom_site_fract_z
_atom_site_occupancy
Cs1 Cs 0.000 0.000 0.000 1
Ta1 Ta 0.000 0.500 0.500 1
Ta2 Ta 0.500 0.000 0.500 1
Ta3 Ta 0.500 0.500 0.500 1
Bi1 Bi 0.000 0.000 0.500 1
Bi2 Bi 0.333 0.667 0.230 1
Bi3 Bi 0.333 0.667 0.770 1
Bi4 Bi 0.667 0.333 0.230 1
Bi5 Bi 0.667 0.333 0.770 1
```

=====

[5]
Entry from OQMD: crystalline CsZr3Bi5 at its relaxed geometry (PBE).

Output
* total moment: 0.00 μB/cell
* crystal system: hexagonal
* total energy: -49.80 eV per cell
* space-group type: P6/mmm (191)

```
data_CsZr3Bi5
_cell_length_a 6.125
_cell_length_b 6.125
_cell_length_c 9.262
_cell_angle_alpha 90.00
_cell_angle_beta 90.00
_cell_angle_gamma 120.00
_space_group_name_H-M_alt 'P 1'
_space_group_IT_number 1
_space_group_name_Hall 'P 1'
loop_
_atom_site_label
_atom_site_type_symbol
_atom_site_fract_x
_atom_site_fract_y
_atom_site_fract_z
_atom_site_occupancy
Cs1 Cs 0.000 0.000 0.000 1
Zr1 Zr 0.000 0.500 0.500 1
Zr2 Zr 0.500 0.000 0.500 1
Zr3 Zr 0.500 0.500 0.500 1
Bi1 Bi 0.000 0.000 0.500 1
Bi2 Bi 0.333 0.667 0.223 1
Bi3 Bi 0.333 0.667 0.777 1
Bi4 Bi 0.667 0.333 0.223 1
Bi5 Bi 0.667 0.333 0.777 1
```

=====

[6]
Entry from OQMD: crystalline Cu9Bi at its relaxed geometry (PBE).

Output
* crystal system: tetragonal
* total energy: -72.07 eV per cell
* space-group type: P4/nmm (129)

```
data_Cu9Bi
_cell_length_a 2.835
_cell_length_b 2.835
_cell_length_c 41.449
_cell_angle_alpha 90.00
_cell_angle_beta 90.00
_cell_angle_gamma 90.00
_space_group_name_H-M_alt 'P 1'
_space_group_IT_number 1
_space_group_name_Hall 'P 1'
loop_
_atom_site_label
_atom_site_type_symbol
_atom_site_fract_x
_atom_site_fract_y
_atom_site_fract_z
_atom_site_occupancy
Cu1 Cu 0.250 0.250 0.018 1
Cu2 Cu 0.250 0.250 0.090 1
Cu3 Cu 0.250 0.250 0.162 1
Cu4 Cu 0.250 0.250 0.234 1
Cu5 Cu 0.250 0.250 0.307 1
Cu6 Cu 0.250 0.250 0.730 1
Cu7 Cu 0.250 0.250 0.802 1
Cu8 Cu 0.250 0.250 0.874 1
Cu9 Cu 0.250 0.250 0.946 1
Cu10 Cu 0.750 0.750 0.054 1
Cu11 Cu 0.750 0.750 0.126 1
Cu12 Cu 0.750 0.750 0.198 1
Cu13 Cu 0.750 0.750 0.270 1
Cu14 Cu 0.750 0.750 0.693 1
Cu15 Cu 0.750 0.750 0.766 1
Cu16 Cu 0.750 0.750 0.838 1
Cu17 Cu 0.750 0.750 0.910 1
Cu18 Cu 0.750 0.750 0.982 1
Bi1 Bi 0.250 0.250 0.638 1
Bi2 Bi 0.750 0.750 0.362 1
```

=====

> Among the records above, which one has the highest total energy?

CsSmBiTe3

=====

Please write out number 2 again, unchanged.
Entry from OQMD: crystalline Cs2ZnBi2Se5 at its relaxed geometry (PBE).

Output
* crystal system: orthorhombic
* total energy: -145.75 eV per cell
* space-group type: Pnma (62)

```
data_Cs2ZnBi2Se5
_cell_length_a 16.637
_cell_length_b 4.308
_cell_length_c 19.038
_cell_angle_alpha 90.00
_cell_angle_beta 90.00
_cell_angle_gamma 90.00
_space_group_name_H-M_alt 'P 1'
_space_group_IT_number 1
_space_group_name_Hall 'P 1'
loop_
_atom_site_label
_atom_site_type_symbol
_atom_site_fract_x
_atom_site_fract_y
_atom_site_fract_z
_atom_site_occupancy
Cs1 Cs 0.006 0.250 0.123 1
Cs2 Cs 0.040 0.750 0.382 1
Cs3 Cs 0.460 0.250 0.882 1
Cs4 Cs 0.494 0.750 0.623 1
Cs5 Cs 0.506 0.250 0.377 1
Cs6 Cs 0.540 0.750 0.118 1
Cs7 Cs 0.960 0.250 0.618 1
Cs8 Cs 0.994 0.750 0.877 1
Zn1 Zn 0.205 0.250 0.856 1
Zn2 Zn 0.295 0.750 0.356 1
Zn3 Zn 0.705 0.250 0.644 1
Zn4 Zn 0.795 0.750 0.144 1
Bi1 Bi 0.207 0.750 0.698 1
Bi2 Bi 0.248 0.750 0.017 1
Bi3 Bi 0.252 0.250 0.517 1
Bi4 Bi 0.293 0.250 0.198 1
Bi5 Bi 0.707 0.750 0.802 1
Bi6 Bi 0.748 0.750 0.483 1
Bi7 Bi 0.752 0.250 0.983 1
Bi8 Bi 0.793 0.250 0.302 1
Se1 Se 0.105 0.250 0.756 1
Se2 Se 0.133 0.750 0.560 1
Se3 Se 0.138 0.250 0.973 1
Se4 Se 0.180 0.750 0.151 1
Se5 Se 0.213 0.250 0.344 1
Se6 Se 0.287 0.750 0.844 1
Se7 Se 0.320 0.250 0.651 1
Se8 Se 0.362 0.750 0.473 1
Se9 Se 0.367 0.250 0.060 1
Se10 Se 0.395 0.750 0.256 1
Se11 Se 0.605 0.250 0.744 1
Se12 Se 0.633 0.750 0.940 1
Se13 Se 0.638 0.250 0.527 1
Se14 Se 0.680 0.750 0.349 1
Se15 Se 0.713 0.250 0.156 1
Se16 Se 0.787 0.750 0.656 1
Se17 Se 0.820 0.250 0.849 1
Se18 Se 0.862 0.750 0.027 1
Se19 Se 0.867 0.250 0.440 1
Se20 Se 0.895 0.750 0.244 1
```

=====

> total energy of number 3 (CsSmBiTe3)?

-47.71 eV per cell